The following is a GGA-PBE calculation of an optimized crystal structure of Ba3AgSb2O9, from the Alexandria database.

Geometry as POSCAR:
```
Ba3AgSb2O9
1.0
5.942 0.000 0.000
-2.971 5.146 0.000
0.000 0.000 7.363
Ag Sb O Ba
1 2 9 3
Cartesian
0.000 0.000 3.681
2.971 1.715 6.154
0.000 3.431 1.209
1.411 4.246 2.329
0.000 1.801 2.329
1.560 0.901 5.034
1.486 2.573 0.000
2.971 3.345 5.034
-1.411 4.246 2.329
2.971 0.000 0.000
-1.486 2.573 0.000
4.382 0.901 5.034
0.000 0.000 0.000
0.000 3.431 4.803
2.971 1.715 2.560
```

Properties
The calculation puts the mass density at 6.7 g/cm³. The calculation puts the total energy at -5.94 eV/atom. The calculation puts the density of states at the Fermi level at 4.7 states/eV/f.u. The value obtained for the formation energy from raw total energies is -1.84 eV per atom.